Ca2CeThSb4 PBE relaxed; calculated volume = 32.75 A^3/atom; space group = No. 10; total magnetic moment = 0.1 μB/f.u.; formation energy (no corrections) = -760.6 kJ/mol of formula units
1.0
4.551 0.000 0.000
0.000 7.879 0.135
0.000 -2.752 7.261
Ca Ce Th Sb
2 1 1 4
Cartesian
2.275 -1.376 3.630
0.000 2.564 3.698
0.000 0.000 0.000
2.275 3.940 0.067
2.275 1.261 1.770
2.275 3.867 5.625
0.000 -0.116 5.535
0.000 5.244 1.860



BaCa2Fe PBE relaxed; calculated volume = 35.63 A^3/atom; space group = No. 123; formation energy from the elements = 1.538 eV per formula unit; total magnetic moment = 2.3 μB/f.u.; energy relative to the lowest polymorph listed for this composition = 0 meV/atom
1.0
3.793 0.019 0.000
-0.018 3.793 0.000
0.000 0.000 9.907
Ca Ba Fe
2 1 1
Cartesian
0.000 0.000 0.810
0.000 0.000 4.143
1.888 1.906 7.430
1.888 1.906 2.477



PaCu2Pd PBE relaxed; calculated volume = 17.41 A^3/atom; space group = No. 166; formation energy from the elements = 1.470 eV per formula unit; total magnetic moment = 0.4 μB/f.u.; energy relative to the lowest polymorph listed for this composition = 631 meV/atom
1.0
-2.357 1.628 0.092
-2.419 -1.044 1.128
1.068 3.546 9.213
Pa Cu Pd
1 2 1
Cartesian
0.000 0.000 0.000
0.300 2.578 6.671
-4.008 1.552 3.763
-1.854 2.065 5.217



AgSnS2N PBE relaxed; calculated volume = 20.49 A^3/atom; space group = No. 123; total magnetic moment = 1.9 μB/f.u.; energy relative to the lowest polymorph listed for this composition = 66 meV/atom; formation energy (no corrections) = 441.1 kJ/mol of formula units
1.0
-0.293 3.958 -3.112
-1.451 -3.052 -3.744
-3.851 0.542 1.051
S Sn Ag N
2 1 1 1
Cartesian
-0.725 -1.526 -1.872
-0.146 1.979 -1.556
-2.797 0.724 -2.903
0.000 0.000 0.000
-1.926 0.271 0.525